# BaSrSnGe GGA-PBE relaxed
data_BaSrSnGe
_space_group_name_H-M_alt 'P 1'
_space_group_IT_number 1
_cell_length_a 5.097
_cell_length_b 4.457
_cell_length_c 6.645
_cell_angle_alpha 90.00
_cell_angle_beta 112.55
_cell_angle_gamma 90.00
loop_
_space_group_symop_operation_xyz
'x,y,z'
loop_
_atom_site_label
_atom_site_type_symbol
_atom_site_fract_x
_atom_site_fract_y
_atom_site_fract_z
_atom_site_occupancy
Sr1 Sr 0.865 0.500 0.730 1
Sn1 Sn 0.427 0.000 0.855 1
Ba1 Ba 0.137 0.000 0.274 1
Ge1 Ge 0.570 0.500 0.141 1
# N(E_F) = 0.336 states/eV per atom
# space-group type = Amm2

***

# BaTaSnGe2 GGA-PBE relaxed
data_BaTaSnGe2
_space_group_name_H-M_alt 'P 1'
_space_group_IT_number 1
_cell_length_a 5.585
_cell_length_b 5.465
_cell_length_c 5.585
_cell_angle_alpha 90.00
_cell_angle_beta 90.00
_cell_angle_gamma 90.00
loop_
_space_group_symop_operation_xyz
'x,y,z'
loop_
_atom_site_label
_atom_site_type_symbol
_atom_site_fract_x
_atom_site_fract_y
_atom_site_fract_z
_atom_site_occupancy
Ge1 Ge 0.000 0.000 0.500 1
Ge2 Ge 0.500 0.000 0.000 1
Ta1 Ta 0.000 0.500 0.000 1
Sn1 Sn 0.500 0.500 0.500 1
Ba1 Ba 0.000 0.000 0.000 1
# N(E_F) = 1.635 states/eV per atom
# space-group type = P4/mmm

***

# Ba2Zn3Sn4Ge GGA-PBE relaxed
data_Ba2Zn3Sn4Ge
_space_group_name_H-M_alt 'P 1'
_space_group_IT_number 1
_cell_length_a 4.945
_cell_length_b 4.945
_cell_length_c 11.033
_cell_angle_alpha 90.00
_cell_angle_beta 90.00
_cell_angle_gamma 90.00
loop_
_space_group_symop_operation_xyz
'x,y,z'
loop_
_atom_site_label
_atom_site_type_symbol
_atom_site_fract_x
_atom_site_fract_y
_atom_site_fract_z
_atom_site_occupancy
Ge1 Ge 0.500 0.500 0.500 1
Sn1 Sn 0.000 0.500 0.377 1
Sn2 Sn 0.000 0.000 0.000 1
Sn3 Sn 0.500 0.000 0.623 1
Sn4 Sn 0.500 0.500 0.000 1
Zn1 Zn 0.000 0.500 0.132 1
Zn2 Zn 0.000 0.000 0.500 1
Zn3 Zn 0.500 0.000 0.868 1
Ba1 Ba 0.500 0.000 0.259 1
Ba2 Ba 0.000 0.500 0.741 1
# N(E_F) = 0.284 states/eV per atom
# space-group type = P-4m2

***

# BaZrSn2Ge GGA-PBE relaxed
data_BaZrSn2Ge
_space_group_name_H-M_alt 'P 1'
_space_group_IT_number 1
_cell_length_a 5.984
_cell_length_b 5.587
_cell_length_c 5.984
_cell_angle_alpha 90.00
_cell_angle_beta 90.00
_cell_angle_gamma 90.00
loop_
_space_group_symop_operation_xyz
'x,y,z'
loop_
_atom_site_label
_atom_site_type_symbol
_atom_site_fract_x
_atom_site_fract_y
_atom_site_fract_z
_atom_site_occupancy
Ge1 Ge 0.500 0.500 0.500 1
Sn1 Sn 0.000 0.000 0.500 1
Sn2 Sn 0.500 0.000 0.000 1
Zr1 Zr 0.000 0.500 0.000 1
Ba1 Ba 0.000 0.000 0.000 1
# N(E_F) = 1.233 states/eV per atom
# space-group type = P4/mmm

***

# Ba2SrGe GGA-PBE relaxed
data_Ba2SrGe
_space_group_name_H-M_alt 'P 1'
_space_group_IT_number 1
_cell_length_a 4.693
_cell_length_b 7.922
_cell_length_c 10.372
_cell_angle_alpha 90.00
_cell_angle_beta 90.00
_cell_angle_gamma 107.24
loop_
_space_group_symop_operation_xyz
'x,y,z'
loop_
_atom_site_label
_atom_site_type_symbol
_atom_site_fract_x
_atom_site_fract_y
_atom_site_fract_z
_atom_site_occupancy
Ge1 Ge 0.261 0.523 0.250 1
Ge2 Ge 0.739 0.477 0.750 1
Ba1 Ba 0.649 0.297 0.430 1
Ba2 Ba 0.351 0.703 0.930 1
Ba3 Ba 0.649 0.297 0.070 1
Ba4 Ba 0.351 0.703 0.570 1
Sr1 Sr 0.913 0.825 0.250 1
Sr2 Sr 0.087 0.175 0.750 1
# N(E_F) = 0.911 states/eV per atom
# space-group type = Cmcm

***

# Ba2SrGe2 GGA-PBE relaxed
data_Ba2SrGe2
_space_group_name_H-M_alt 'P 1'
_space_group_IT_number 1
_cell_length_a 8.409
_cell_length_b 8.409
_cell_length_c 5.137
_cell_angle_alpha 90.00
_cell_angle_beta 90.00
_cell_angle_gamma 90.00
loop_
_space_group_symop_operation_xyz
'x,y,z'
loop_
_atom_site_label
_atom_site_type_symbol
_atom_site_fract_x
_atom_site_fract_y
_atom_site_fract_z
_atom_site_occupancy
Ba1 Ba 0.171 0.671 0.500 1
Ba2 Ba 0.671 0.829 0.500 1
Ba3 Ba 0.329 0.171 0.500 1
Ba4 Ba 0.829 0.329 0.500 1
Ge1 Ge 0.892 0.608 0.000 1
Ge2 Ge 0.392 0.892 0.000 1
Ge3 Ge 0.108 0.392 0.000 1
Ge4 Ge 0.608 0.108 0.000 1
Sr1 Sr 0.000 0.000 0.000 1
Sr2 Sr 0.500 0.500 0.000 1
# N(E_F) = 1.030 states/eV per atom
# space-group type = P4/mbm
# ΔE to the lowest computed polymorph = 21 meV per atom

***

# Ba2SrGe GGA-PBE relaxed
data_Ba2SrGe
_space_group_name_H-M_alt 'P 1'
_space_group_IT_number 1
_cell_length_a 4.172
_cell_length_b 4.172
_cell_length_c 10.586
_cell_angle_alpha 90.00
_cell_angle_beta 90.00
_cell_angle_gamma 90.00
loop_
_space_group_symop_operation_xyz
'x,y,z'
loop_
_atom_site_label
_atom_site_type_symbol
_atom_site_fract_x
_atom_site_fract_y
_atom_site_fract_z
_atom_site_occupancy
Ba1 Ba 0.000 0.000 0.829 1
Ba2 Ba 0.000 0.000 0.171 1
Ge1 Ge 0.500 0.500 0.000 1
Sr1 Sr 0.500 0.500 0.500 1
# N(E_F) = 0.885 states/eV per atom
# space-group type = P4/mmm

***

# Ba2SrGe2 GGA-PBE relaxed
data_Ba2SrGe2
_space_group_name_H-M_alt 'P 1'
_space_group_IT_number 1
_cell_length_a 6.966
_cell_length_b 7.116
_cell_length_c 8.867
_cell_angle_alpha 100.44
_cell_angle_beta 90.00
_cell_angle_gamma 119.30
loop_
_space_group_symop_operation_xyz
'x,y,z'
loop_
_atom_site_label
_atom_site_type_symbol
_atom_site_fract_x
_atom_site_fract_y
_atom_site_fract_z
_atom_site_occupancy
Ba1 Ba 0.473 0.689 0.851 1
Ba2 Ba 0.527 0.311 0.149 1
Ba3 Ba 0.784 0.311 0.649 1
Ba4 Ba 0.216 0.689 0.351 1
Sr1 Sr 0.077 0.000 0.750 1
Sr2 Sr 0.923 0.000 0.250 1
Ge1 Ge 0.322 0.315 0.513 1
Ge2 Ge 0.994 0.315 0.013 1
Ge3 Ge 0.006 0.685 0.987 1
Ge4 Ge 0.678 0.685 0.487 1
# N(E_F) = 0.537 states/eV per atom
# space-group type = C2/c
# ΔE to the lowest computed polymorph = 0 meV per atom

***

# Ba3SrGe GGA-PBE relaxed
data_Ba3SrGe
_space_group_name_H-M_alt 'P 1'
_space_group_IT_number 1
_cell_length_a 6.598
_cell_length_b 6.598
_cell_length_c 6.598
_cell_angle_alpha 90.00
_cell_angle_beta 90.00
_cell_angle_gamma 90.00
loop_
_space_group_symop_operation_xyz
'x,y,z'
loop_
_atom_site_label
_atom_site_type_symbol
_atom_site_fract_x
_atom_site_fract_y
_atom_site_fract_z
_atom_site_occupancy
Ba1 Ba 0.500 0.000 0.000 1
Ba2 Ba 0.000 0.000 0.500 1
Ba3 Ba 0.000 0.500 0.000 1
Ge1 Ge 0.000 0.000 0.000 1
Sr1 Sr 0.500 0.500 0.500 1
# N(E_F) = 0.851 states/eV per atom
# space-group type = Pm-3m
# ΔE to the lowest computed polymorph = 0 meV per atom

***

# BaSr3Ge GGA-PBE relaxed
data_BaSr3Ge
_space_group_name_H-M_alt 'P 1'
_space_group_IT_number 1
_cell_length_a 6.284
_cell_length_b 6.284
_cell_length_c 6.284
_cell_angle_alpha 90.00
_cell_angle_beta 90.00
_cell_angle_gamma 90.00
loop_
_space_group_symop_operation_xyz
'x,y,z'
loop_
_atom_site_label
_atom_site_type_symbol
_atom_site_fract_x
_atom_site_fract_y
_atom_site_fract_z
_atom_site_occupancy
Ba1 Ba 0.500 0.500 0.500 1
Ge1 Ge 0.000 0.000 0.000 1
Sr1 Sr 0.500 0.000 0.000 1
Sr2 Sr 0.000 0.500 0.000 1
Sr3 Sr 0.000 0.000 0.500 1
# N(E_F) = 1.141 states/eV per atom
# space-group type = Pm-3m
# ΔE to the lowest computed polymorph = 0 meV per atom

***

# Ba2SrGe2 GGA-PBE relaxed
data_Ba2SrGe2
_space_group_name_H-M_alt 'P 1'
_space_group_IT_number 1
_cell_length_a 5.123
_cell_length_b 5.123
_cell_length_c 7.875
_cell_angle_alpha 71.02
_cell_angle_beta 71.02
_cell_angle_gamma 90.00
loop_
_space_group_symop_operation_xyz
'x,y,z'
loop_
_atom_site_label
_atom_site_type_symbol
_atom_site_fract_x
_atom_site_fract_y
_atom_site_fract_z
_atom_site_occupancy
Ge1 Ge 0.588 0.588 0.825 1
Ge2 Ge 0.412 0.412 0.175 1
Sr1 Sr 0.000 0.000 0.000 1
Ba1 Ba 0.750 0.250 0.500 1
Ba2 Ba 0.250 0.750 0.500 1
# N(E_F) = 0.920 states/eV per atom
# space-group type = I4/mmm
# ΔE to the lowest computed polymorph = 237 meV per atom

***

# Ba2Sr2Ge GGA-PBE relaxed
data_Ba2Sr2Ge
_space_group_name_H-M_alt 'P 1'
_space_group_IT_number 1
_cell_length_a 8.566
_cell_length_b 8.566
_cell_length_c 6.658
_cell_angle_alpha 90.00
_cell_angle_beta 90.00
_cell_angle_gamma 90.00
loop_
_space_group_symop_operation_xyz
'x,y,z'
loop_
_atom_site_label
_atom_site_type_symbol
_atom_site_fract_x
_atom_site_fract_y
_atom_site_fract_z
_atom_site_occupancy
Ba1 Ba 0.829 0.329 0.500 1
Ba2 Ba 0.671 0.829 0.500 1
Ba3 Ba 0.171 0.671 0.500 1
Ba4 Ba 0.329 0.171 0.500 1
Sr1 Sr 0.162 0.338 0.000 1
Sr2 Sr 0.338 0.838 0.000 1
Sr3 Sr 0.838 0.662 0.000 1
Sr4 Sr 0.662 0.162 0.000 1
Ge1 Ge 0.500 0.500 0.000 1
Ge2 Ge 0.000 0.000 0.000 1
# N(E_F) = 1.069 states/eV per atom
# space-group type = P4/mbm

***

Calculated formation energy in order - -635; 1986; -372; 1589; -311; -480; -231; -502; -145; -206; -265; -33 meV/atom